1.
Below is SrTbLu2 after structural relaxation, with properties calculated at the PBE level.

Values from the calculation:
- Relative energy among the computed polymorphs: 106 meV/atom
- Final energy: -3.582 eV/atom
- Total magnetization: 0.000 μB/atom
- Energy of formation: 0.257 eV per atom

Unit cell a=3.564 b=3.564 c=12.774 alpha=81.98 beta=81.98 gamma=60.00
Element x y z (fractional)
Sr: 0.000 0.000 0.000
Lu: 0.093 0.093 0.720
Lu: 0.907 0.907 0.280
Tb: 0.500 0.500 0.500

***

2.
Below is SrTbLu after structural relaxation, with properties calculated at the PBE level.

Values from the calculation:
- Final energy: -3.458 eV/atom
- Total magnetization: 0.000 μB/atom
- Energy of formation: 0.153 eV per atom

Unit cell a=3.710 b=3.710 c=8.366 alpha=102.81 beta=102.81 gamma=90.00
Element x y z (fractional)
Sr: 0.001 0.001 0.002
Lu: 0.681 0.681 0.361
Tb: 0.318 0.318 0.637

***

3.
Below is SrTbLu2 after structural relaxation, with properties calculated at the PBE level.

Values from the calculation:
- Relative energy among the computed polymorphs: 0 meV/atom
- Final energy: -3.688 eV/atom
- Total magnetization: 0.000 μB/atom
- Energy of formation: 0.151 eV per atom

Unit cell a=3.641 b=3.641 c=10.478 alpha=90.00 beta=90.00 gamma=90.00
Element x y z (fractional)
Sr: 0.500 0.500 0.500
Lu: 0.000 0.000 0.781
Lu: 0.000 0.000 0.219
Tb: 0.500 0.500 0.000

***

Summary of N(E_F) in states/eV/cell
5.1 5.2 5.8
(order as listed above)